# 1
Below is FePOs2 after structural relaxation, with properties calculated at the GGA-PBE level.

Calculated values
Total magnetic moment, μB per formula unit: 1.6
DFT formation energy, eV per atom: 0.215
SG: No. 12
E_tot, eV/cell: -35.47
Theoretical density, g/cm³: 14.3

```
FePOs2
1.0
-1.161 -4.431 0.624
0.814 -3.808 2.491
-3.111 0.999 2.959
Fe Os P
1 2 1
Direct
0.250 0.250 0.250
0.971 0.971 0.013
0.529 0.529 0.487
0.750 0.750 0.750
```

=====

# 2
Below is Hg2Pt2Pb after structural relaxation, with properties calculated at the GGA-PBE level.

Calculated values
Total magnetic moment, μB per formula unit: 0.0
DFT formation energy, eV per atom: 0.049
SG: No. 139
E_tot, eV/cell: -16.15
Excess energy over the best structure of this formula in the dataset, meV/atom: 40
Theoretical density, g/cm³: 14.8

```
Hg2Pt2Pb
1.0
-1.767 0.336 -3.718
2.428 -3.021 -1.427
-4.179 -5.789 -0.830
Pb Hg Pt
1 2 2
Direct
0.000 0.000 0.000
0.750 0.250 0.500
0.250 0.750 0.500
0.401 0.401 0.198
0.599 0.599 0.802
```

=====

# 3
Below is YTl3Bi after structural relaxation, with properties calculated at the GGA-PBE level.

Calculated values
Total magnetic moment, μB per formula unit: 0.0
DFT formation energy, eV per atom: 0.503
SG: No. 221
E_tot, eV/cell: -14.93
Excess energy over the best structure of this formula in the dataset, meV/atom: 0
Theoretical density, g/cm³: 7.5

```
YTl3Bi
1.0
5.870 0.000 0.000
0.000 5.870 0.000
0.000 0.000 5.870
Y Tl Bi
1 3 1
Direct
0.000 0.000 0.000
0.000 0.500 0.000
0.000 0.000 0.500
0.500 0.000 0.000
0.500 0.500 0.500
```